VASP calculation (PBE) on crystalline Rb2HF7 at its relaxed geometry.

Cell lengths 5.929, 5.929, 8.857 Å; angles 90.00, 90.00, 90.00 degrees
Space group I4/mmm (No. 139)
Inequivalent atoms, fractional coordinates:
Rb: 0.000 0.500 0.250 (multiplicity 4)
H: 0.000 0.000 0.000 (multiplicity 2)
F: 0.000 0.000 0.305 (multiplicity 4)
F: 0.000 0.000 0.500 (multiplicity 2)
F: 0.179 0.179 0.000 (multiplicity 8)

***

VASP calculation (PBE) on crystalline RbH2F8 at its relaxed geometry.

Cell lengths 4.100, 5.791, 8.603 Å; angles 70.86, 78.20, 86.41 degrees
Space group P1 (No. 1)
Inequivalent atoms, fractional coordinates:
Rb: 0.000 0.000 0.000 (multiplicity 1)
H: 0.424 0.341 0.167 (multiplicity 1)
H: 0.560 0.497 0.836 (multiplicity 1)
F: 0.011 0.670 0.464 (multiplicity 1)
F: 0.119 0.105 0.596 (multiplicity 1)
F: 0.402 0.166 0.185 (multiplicity 1)
F: 0.452 0.018 0.562 (multiplicity 1)
F: 0.470 0.605 0.130 (multiplicity 1)
F: 0.548 0.345 0.811 (multiplicity 1)
F: 0.580 0.719 0.884 (multiplicity 1)
F: 0.778 0.619 0.375 (multiplicity 1)

***

Number 1: electronic total energy -3.076 eV per atom. Number 2: electronic total energy -3.167 eV per atom.